No. 1
A plane-wave DFT calculation with PBE was carried out for a relaxed structure of Cs3NbPb.

ΔH_f (0 K): 1.271 eV/atom
D(E_F): 3.744 states/eV per atom

Cell: 6.5114 6.5114 6.5114 Å, 90.00 90.00 90.00°
Last column: nearest neighbours and their distance in Å.
Atoms (fractional coordinates):
Pb 0.5000 0.5000 0.5000  12 Cs 4.60
Cs 0.0000 0.5000 0.0000  2 Nb 3.26
Cs 0.0000 0.0000 0.5000  2 Nb 3.26
Cs 0.5000 0.0000 0.0000  2 Nb 3.26
Nb 0.0000 0.0000 0.0000  6 Cs 3.26



No. 2
A plane-wave DFT calculation with PBE was carried out for a relaxed structure of Rb2ScCu.

ΔH_f (0 K): 0.666 eV/atom
D(E_F): 1.328 states/eV per atom
Relative energy among the computed polymorphs: 0.000 eV per atom

Cell: 13.0031 13.0031 9.5404 Å, 47.04 47.04 90.00°
Last column: nearest neighbours and their distance in Å.
Atoms (fractional coordinates):
Sc 0.5000 0.5000 0.0000  2 Cu 2.55
Sc 0.2500 0.7500 0.5000  2 Cu 2.55
Cu 0.0000 0.0000 0.0000  2 Sc 2.55
Cu 0.7500 0.2500 0.5000  2 Sc 2.55
Rb 0.7843 0.1250 0.2500  2 Cu 3.52
Rb 0.9657 0.6250 0.2500  2 Cu 3.52
Rb 0.3750 0.2157 0.7500  2 Cu 3.52
Rb 0.8750 0.0343 0.7500  2 Cu 3.52